# 1
The following is a DFT calculation (GGA-PBE) of a relaxed GdTmMnHg crystal.

## Properties
Energy, eV per atom: -7.064
Density, g/cm3: 10.0

Lattice parameters (Å, degrees): 7.291 7.291 7.291 90.00 90.00 90.00
Fractional positions:
Gd1 0.000 0.000 0.000
Gd2 0.000 0.500 0.500
Gd3 0.500 0.000 0.500
Gd4 0.500 0.500 0.000
Tm1 0.000 0.000 0.500
Tm2 0.000 0.500 0.000
Tm3 0.500 0.000 0.000
Tm4 0.500 0.500 0.500
Mn1 0.250 0.250 0.250
Mn2 0.250 0.750 0.750
Mn3 0.750 0.250 0.750
Mn4 0.750 0.750 0.250
Hg1 0.250 0.250 0.750
Hg2 0.250 0.750 0.250
Hg3 0.750 0.250 0.250
Hg4 0.750 0.750 0.750


# 2
The following is a DFT calculation (GGA-PBE) of a relaxed Er2Ga4Ni3Ru crystal.

## Properties
Energy, eV per atom: -5.336
Density, g/cm3: 8.9

Lattice parameters (Å, degrees): 4.120 4.120 9.791 90.00 90.00 90.00
Fractional positions:
Er1 0.000 0.500 0.243
Er2 0.500 0.000 0.757
Ga1 0.000 0.000 0.500
Ga2 0.000 0.500 0.866
Ga3 0.500 0.000 0.134
Ga4 0.500 0.500 0.500
Ni1 0.000 0.000 0.000
Ni2 0.000 0.500 0.628
Ni3 0.500 0.000 0.372
Ru1 0.500 0.500 0.000


# 3
The following is a DFT calculation (GGA-PBE) of a relaxed Na5Sn4Bi4 crystal.

## Properties
Energy, eV per atom: -3.091
Density, g/cm3: 5.6

Lattice parameters (Å, degrees): 9.443 9.443 9.443 94.13 94.13 148.85
Fractional positions:
Na1 0.000 0.000 0.000
Na2 0.293 0.628 0.920
Na3 0.372 0.293 0.665
Na4 0.628 0.707 0.335
Na5 0.707 0.372 0.080
Sn1 0.100 0.424 0.524
Sn2 0.424 0.900 0.323
Sn3 0.576 0.100 0.677
Sn4 0.900 0.576 0.476
Bi1 0.063 0.759 0.821
Bi2 0.241 0.063 0.304
Bi3 0.759 0.937 0.696
Bi4 0.937 0.241 0.179


# 4
The following is a DFT calculation (GGA-PBE) of a relaxed CaSm5Hg4 crystal.

## Properties
Energy, eV per atom: -3.030
Density, g/cm3: 9.0

Lattice parameters (Å, degrees): 3.824 3.824 20.188 90.00 90.00 90.00
Fractional positions:
Ca1 0.000 0.000 0.000
Sm1 0.500 0.500 0.134
Sm2 0.500 0.500 0.316
Sm3 0.500 0.500 0.500
Sm4 0.500 0.500 0.684
Sm5 0.500 0.500 0.866
Hg1 0.000 0.000 0.220
Hg2 0.000 0.000 0.407
Hg3 0.000 0.000 0.593
Hg4 0.000 0.000 0.780


# 5
The following is a DFT calculation (GGA-PBE) of a relaxed Ac3Ga3Ge2 crystal.

## Properties
Offset from the most stable computed form, eV/f.u.: 0.00
Density, g/cm3: 7.8

Lattice parameters (Å, degrees): 6.407 6.407 16.809 90.00 90.00 140.41
Fractional positions:
Ac1 0.054 0.946 0.750
Ac2 0.347 0.653 0.589
Ac3 0.347 0.653 0.911
Ac4 0.653 0.347 0.089
Ac5 0.653 0.347 0.411
Ac6 0.946 0.054 0.250
Ga1 0.056 0.944 0.561
Ga2 0.056 0.944 0.939
Ga3 0.215 0.785 0.250
Ga4 0.785 0.215 0.750
Ga5 0.944 0.056 0.061
Ga6 0.944 0.056 0.439
Ge1 0.356 0.644 0.117
Ge2 0.356 0.644 0.383
Ge3 0.644 0.356 0.617
Ge4 0.644 0.356 0.883


# 6
The following is a DFT calculation (GGA-PBE) of a relaxed Nd8Pd2Au crystal.

## Properties
Offset from the most stable computed form, eV/f.u.: 0.00
Density, g/cm3: 8.0

Lattice parameters (Å, degrees): 9.698 9.698 6.919 107.36 107.36 31.63
Fractional positions:
Nd1 0.028 0.028 0.284
Nd2 0.202 0.202 0.845
Nd3 0.326 0.326 0.492
Nd4 0.407 0.407 0.027
Nd5 0.593 0.593 0.973
Nd6 0.674 0.674 0.508
Nd7 0.798 0.798 0.155
Nd8 0.972 0.972 0.716
Pd1 0.172 0.172 0.240
Pd2 0.828 0.828 0.760
Au1 0.500 0.500 0.500


# 7
The following is a DFT calculation (GGA-PBE) of a relaxed LaY3Br crystal.

## Properties
Offset from the most stable computed form, eV/f.u.: 4.80
ΔE_f (raw), kJ per mole of atoms: 68.9
Density, g/cm3: 4.1

Lattice parameters (Å, degrees): 5.817 5.817 5.817 90.00 90.00 90.00
Fractional positions:
La1 0.000 0.000 0.000
Y1 0.000 0.000 0.500
Y2 0.000 0.500 0.000
Y3 0.500 0.000 0.000
Br1 0.500 0.500 0.500


# 8
The following is a DFT calculation (GGA-PBE) of a relaxed LiCaSc2C crystal.

## Properties
Energy, eV per atom: -5.216
Density, g/cm3: 2.3

Lattice parameters (Å, degrees): 4.533 4.533 5.309 90.00 90.00 90.00
Fractional positions:
Li1 0.000 0.000 0.000
Ca1 0.500 0.500 0.000
Sc1 0.000 0.500 0.500
Sc2 0.500 0.000 0.500
C1 0.500 0.500 0.500


no.,magnetic moment (μB per formula unit)
1,10.6
2,0.0
3,0.0
4,2.1
5,0.0
6,0.0
7,0.0
8,0.0